The following is a PBE with a Hubbard U calculation of an optimized crystal structure of TiAlMoO6, from the Alexandria database.

```
TiAlMoO6
1.0
-1.089 -4.801 0.177
2.025 1.918 -4.060
8.063 -1.710 3.213
Al O Ti Mo
2 12 2 2
direct
0.667 0.333 0.750
0.333 0.667 0.250
0.992 0.330 0.632
0.008 0.338 0.132
0.008 0.670 0.368
0.330 0.338 0.368
0.670 0.662 0.632
0.662 0.670 0.132
0.662 0.992 0.368
0.338 0.008 0.632
0.330 0.992 0.132
0.338 0.330 0.868
0.992 0.662 0.868
0.670 0.008 0.868
0.667 0.333 0.250
0.333 0.667 0.750
0.000 0.000 0.000
0.000 0.000 0.500
```

Summary:
Space-group type: P-31c (163)
E: -7.7604 eV per atom
Total magnetization: 1.0 μB per formula unit